This record from Alexandria via LeMat-Bulk describes NiSeCl2 after structural relaxation. The functional is PBE.

abc: 6.4046 6.4046 6.4046
angles: 119.73 119.73 90.46
Last column: nearest neighbours and their distance in Å.
Fractional positions:
1 Ni 0.0000 0.0000 0.0000  4 Cl 2.21
2 Ni 0.7500 0.2500 0.5000  4 Cl 2.21
3 Se 0.2500 0.7500 0.5000  4 Cl 2.95
4 Se 0.5000 0.5000 0.0000  4 Cl 2.95
5 Cl 0.0325 0.6250 0.9075  2 Ni 2.21
6 Cl 0.3750 0.2825 0.4075  2 Ni 2.21
7 Cl 0.7175 0.1250 0.0925  2 Ni 2.21
8 Cl 0.8750 0.9675 0.5925  2 Ni 2.21

DOS(E_F)   1.607 states/eV/atom
Calculated density   3.7 g/cm3
SG   I-42d, No. 122
ΔE_f (raw)   1.125 eV per formula unit
Calculated volume   23.3 Å³/atom